# 1
# CeAl2Os

Crystalline CeAl2Os at its relaxed geometry (PBE, the Alexandria database).

Lattice parameters (Å, degrees): 3.106 3.106 7.482 90.00 90.00 90.00
Space group P4/mmm (No. 123)
Asymmetric unit:
1 Ce 0.000 0.000 0.000 [1 per cell]
2 Al 0.500 0.500 0.316 [2 per cell]
3 Os 0.000 0.000 0.500 [1 per cell]

E_tot ... -6.551 eV/atom



# 2
# Nd2HoCd2

Crystalline Nd2HoCd2 at its relaxed geometry (PBE, the Alexandria database).

Lattice parameters (Å, degrees): 9.107 11.423 6.295 90.00 90.00 90.00
Space group Ibam (No. 72)
Asymmetric unit:
1 Nd 0.120 0.119 0.000 [8 per cell]
2 Ho 0.000 0.500 0.250 [4 per cell]
3 Cd 0.241 0.137 0.500 [8 per cell]

Energy above the lowest structure with this stoichiometry ... 305 meV per atom



# 3
# NaYPb4

Crystalline NaYPb4 at its relaxed geometry (PBE, the Alexandria database).

Lattice parameters (Å, degrees): 9.139 9.139 9.139 90.00 90.00 90.00
Space group F-43m (No. 216)
Asymmetric unit:
1 Na 0.000 0.000 0.000 [4 per cell]
2 Y 0.250 0.250 0.750 [4 per cell]
3 Pb 0.124 0.124 0.376 [16 per cell]

Energy above the lowest structure with this stoichiometry ... 81 meV per atom



# 4
# La8Co2Au

Crystalline La8Co2Au at its relaxed geometry (PBE, the Alexandria database).

Lattice parameters (Å, degrees): 8.036 13.503 6.491 90.00 107.18 90.00
Space group Cm (No. 8)
Asymmetric unit:
1 La 0.000 0.000 0.000 [2 per cell]
2 La 0.080 0.364 0.811 [4 per cell]
3 La 0.125 0.143 0.587 [4 per cell]
4 La 0.223 0.500 0.400 [2 per cell]
5 La 0.329 0.215 0.193 [4 per cell]
6 Co 0.364 0.312 0.708 [4 per cell]
7 Au 0.353 0.000 0.402 [2 per cell]

E_tot ... -5.300 eV/atom



# 5
# InRu2Se

Crystalline InRu2Se at its relaxed geometry (PBE, the Alexandria database).

Lattice parameters (Å, degrees): 6.010 6.010 10.249 90.00 90.00 90.00
Space group I-42d (No. 122)
Asymmetric unit:
1 In 0.000 0.000 0.000 [4 per cell]
2 Ru 0.204 0.250 0.625 [8 per cell]
3 Se 0.000 0.000 0.500 [4 per cell]

Raw formation energy ... 622.4 meV/atom
Energy above the lowest structure with this stoichiometry ... 485 meV per atom



# 6
# Er3HfAg3Se8

Crystalline Er3HfAg3Se8 at its relaxed geometry (PBE, the Alexandria database).

Lattice parameters (Å, degrees): 14.078 8.128 8.155 90.00 125.36 90.00
Space group C2/m (No. 12)
Asymmetric unit:
1 Er 0.000 0.000 0.000 [2 per cell]
2 Er 0.250 0.250 0.000 [4 per cell]
3 Hf 0.000 0.500 0.000 [2 per cell]
4 Ag 0.000 0.500 0.500 [2 per cell]
5 Ag 0.250 0.250 0.500 [4 per cell]
6 Se 0.002 0.261 0.768 [8 per cell]
7 Se 0.237 0.500 0.232 [4 per cell]
8 Se 0.248 0.000 0.243 [4 per cell]

Raw formation energy ... -1183.6 meV/atom



# 7
# Nd3Sm2Y3

Crystalline Nd3Sm2Y3 at its relaxed geometry (PBE, the Alexandria database).

Lattice parameters (Å, degrees): 5.644 12.022 16.195 90.00 90.00 90.00
Space group Cmcm (No. 63)
Asymmetric unit:
1 Nd 0.000 0.074 0.094 [8 per cell]
2 Nd 0.000 0.262 0.250 [4 per cell]
3 Sm 0.000 0.221 0.631 [8 per cell]
4 Y 0.000 0.378 0.049 [8 per cell]
5 Y 0.000 0.463 0.750 [4 per cell]

Energy above the lowest structure with this stoichiometry ... 38 meV per atom



# 8
# PmDy8Tm6

Crystalline PmDy8Tm6 at its relaxed geometry (PBE, the Alexandria database).

Lattice parameters (Å, degrees): 8.9522 8.9522 20.4780 90.00 90.00 120.00
Space group R-3 (No. 148, hexagonal axes)
Asymmetric unit:
1 Pm 0.0000 0.0000 0.0000 [3 per cell]
2 Dy 0.0000 0.0000 0.4233 [6 per cell]
3 Dy 0.0812 0.5275 0.8082 [18 per cell]
4 Tm 0.0568 0.8123 0.7066 [18 per cell]

E_tot ... -4.423 eV/atom



# 9
# TmAl3NiPd

Crystalline TmAl3NiPd at its relaxed geometry (PBE, the Alexandria database).

Lattice parameters (Å, degrees): 6.060 12.248 5.608 90.00 90.00 90.00
Space group Cmcm (No. 63)
Asymmetric unit:
1 Tm 0.000 0.222 0.250 [4 per cell]
2 Al 0.000 0.361 0.750 [4 per cell]
3 Al 0.214 0.000 0.000 [8 per cell]
4 Ni 0.000 0.431 0.250 [4 per cell]
5 Pd 0.000 0.151 0.750 [4 per cell]

E_tot ... -4.992 eV/atom



# 10
# Pa2GaTc3

Crystalline Pa2GaTc3 at its relaxed geometry (PBE, the Alexandria database).

Lattice parameters (Å, degrees): 12.941 6.793 5.251 90.00 98.53 90.00
Space group C2/c (No. 15)
Asymmetric unit:
1 Pa 0.156 0.154 0.129 [8 per cell]
2 Ga 0.000 0.489 0.250 [4 per cell]
3 Tc 0.000 0.120 0.750 [4 per cell]
4 Tc 0.174 0.359 0.609 [8 per cell]

Energy above the lowest structure with this stoichiometry ... 162 meV per atom



# 11
# Mn2InRh2

Crystalline Mn2InRh2 at its relaxed geometry (PBE, the Alexandria database).

Lattice parameters (Å, degrees): 7.357 7.357 2.957 90.00 90.00 90.00
Space group P4/mbm (No. 127)
Asymmetric unit:
1 Mn 0.133 0.367 0.000 [4 per cell]
2 In 0.000 0.000 0.000 [2 per cell]
3 Rh 0.162 0.662 0.500 [4 per cell]

Energy above the lowest structure with this stoichiometry ... 0 meV per atom



# 12
# Y2TmCd3

Crystalline Y2TmCd3 at its relaxed geometry (PBE, the Alexandria database).

Lattice parameters (Å, degrees): 5.2730 5.2730 6.4766 90.00 90.00 120.00
Space group P-3m1 (No. 164)
Asymmetric unit:
1 Y 0.3333 0.6667 0.1710 [2 per cell]
2 Tm 0.0000 0.0000 0.5000 [1 per cell]
3 Cd 0.0000 0.0000 0.0000 [1 per cell]
4 Cd 0.3333 0.6667 0.6672 [2 per cell]

E_tot ... -3.698 eV/atom



# 13
# Pr2ErIn

Crystalline Pr2ErIn at its relaxed geometry (PBE, the Alexandria database).

Lattice parameters (Å, degrees): 7.896 7.896 7.896 90.00 90.00 90.00
Space group Fm-3m (No. 225)
Asymmetric unit:
1 Pr 0.250 0.250 0.250 [8 per cell]
2 Er 0.000 0.000 0.000 [4 per cell]
3 In 0.000 0.000 0.500 [4 per cell]

Energy above the lowest structure with this stoichiometry ... 107 meV per atom



# 14
# TePOs3

Crystalline TePOs3 at its relaxed geometry (PBE, the Alexandria database).

Lattice parameters (Å, degrees): 4.806 4.806 4.806 90.00 90.00 90.00
Space group Pm-3m (No. 221)
Asymmetric unit:
1 Te 0.000 0.000 0.000 [1 per cell]
2 P 0.500 0.500 0.500 [1 per cell]
3 Os 0.000 0.000 0.500 [3 per cell]

Raw formation energy ... 2745.6 meV/atom
Energy above the lowest structure with this stoichiometry ... 1681 meV per atom



# 15
# AlHgOs2

Crystalline AlHgOs2 at its relaxed geometry (PBE, the Alexandria database).

Lattice parameters (Å, degrees): 2.8154 2.8154 27.8590 90.00 90.00 120.00
Space group R-3m (No. 166, hexagonal axes)
Asymmetric unit:
1 Al 0.0000 0.0000 0.0000 [3 per cell]
2 Hg 0.0000 0.0000 0.5000 [3 per cell]
3 Os 0.0000 0.0000 0.2603 [6 per cell]

Energy above the lowest structure with this stoichiometry ... 138 meV per atom



# 16
# NbInC2

Crystalline NbInC2 at its relaxed geometry (PBE, the Alexandria database).

Lattice parameters (Å, degrees): 5.054 5.054 9.894 90.00 90.00 90.00
Space group I-42d (No. 122)
Asymmetric unit:
1 Nb 0.000 0.000 0.000 [4 per cell]
2 In 0.000 0.000 0.500 [4 per cell]
3 C 0.215 0.250 0.125 [8 per cell]

E_tot ... -7.258 eV/atom



# 17
# NaAu2I

Crystalline NaAu2I at its relaxed geometry (PBE, the Alexandria database).

Lattice parameters (Å, degrees): 4.076 4.076 24.394 90.00 90.00 90.00
Space group I-42d (No. 122)
Asymmetric unit:
1 Na 0.000 0.000 0.000 [4 per cell]
2 Au 0.244 0.250 0.125 [8 per cell]
3 I 0.000 0.000 0.500 [4 per cell]

Raw formation energy ... -191.8 meV/atom
Energy above the lowest structure with this stoichiometry ... 0 meV per atom



# 18
# YGaB2Pb

Crystalline YGaB2Pb at its relaxed geometry (PBE, the Alexandria database).

Lattice parameters (Å, degrees): 4.782 4.782 5.969 90.00 90.00 90.00
Space group P4/mmm (No. 123)
Asymmetric unit:
1 Y 0.000 0.000 0.000 [1 per cell]
2 Ga 0.500 0.500 0.500 [1 per cell]
3 B 0.000 0.500 0.000 [2 per cell]
4 Pb 0.000 0.000 0.500 [1 per cell]

E_tot ... -3.727 eV/atom



# 19
# Rb2AlZnBr6

Crystalline Rb2AlZnBr6 at its relaxed geometry (PBE, the Alexandria database).

Lattice parameters (Å, degrees): 7.583 7.583 10.786 90.00 90.00 90.00
Space group I4/mmm (No. 139)
Asymmetric unit:
1 Rb 0.000 0.500 0.250 [4 per cell]
2 Al 0.000 0.000 0.000 [2 per cell]
3 Zn 0.000 0.000 0.500 [2 per cell]
4 Br 0.000 0.000 0.240 [4 per cell]
5 Br 0.241 0.241 0.000 [8 per cell]

Raw formation energy ... -1173.8 meV/atom



# 20
# SrTe2Br

Crystalline SrTe2Br at its relaxed geometry (PBE, the Alexandria database).

Lattice parameters (Å, degrees): 4.513 8.506 9.139 66.06 89.88 89.73
Space group P1 (No. 1)
Asymmetric unit:
1 Sr 0.000 0.000 0.000 [1 per cell]
2 Sr 0.497 0.519 0.682 [1 per cell]
3 Te 0.498 0.994 0.523 [1 per cell]
4 Te 0.502 0.671 0.271 [1 per cell]
5 Te 0.502 0.802 0.855 [1 per cell]
6 Te 0.997 0.830 0.405 [1 per cell]
7 Br 0.498 0.236 0.030 [1 per cell]
8 Br 0.999 0.296 0.658 [1 per cell]

Raw formation energy ... -1167.0 meV/atom
Energy above the lowest structure with this stoichiometry ... 18 meV per atom



# 21
# PuCo2AsN

Crystalline PuCo2AsN at its relaxed geometry (PBE, the Alexandria database).

Lattice parameters (Å, degrees): 3.566 11.051 6.793 90.00 90.00 90.00
Space group Cmcm (No. 63)
Asymmetric unit:
1 Pu 0.000 0.035 0.250 [4 per cell]
2 Co 0.000 0.334 0.052 [8 per cell]
3 As 0.000 0.233 0.750 [4 per cell]
4 N 0.000 0.500 0.000 [4 per cell]

Raw formation energy ... -669.8 meV/atom



# 22
# PmIn3Pd3

Crystalline PmIn3Pd3 at its relaxed geometry (PBE, the Alexandria database).

Lattice parameters (Å, degrees): 7.258 7.258 7.258 90.00 90.00 90.00
Space group Pm-3n (No. 223)
Asymmetric unit:
1 Pm 0.000 0.000 0.000 [2 per cell]
2 In 0.000 0.250 0.500 [6 per cell]
3 Pd 0.000 0.500 0.250 [6 per cell]

Energy above the lowest structure with this stoichiometry ... 475 meV per atom



# 23
# RbTi4Br8

Crystalline RbTi4Br8 at its relaxed geometry (PBE, the Alexandria database).

Lattice parameters (Å, degrees): 12.239 7.281 10.201 90.00 121.84 90.00
Space group C2/m (No. 12)
Asymmetric unit:
1 Rb 0.000 0.000 0.000 [2 per cell]
2 Ti 0.000 0.310 0.500 [4 per cell]
3 Ti 0.209 0.500 0.490 [4 per cell]
4 Br 0.022 0.000 0.348 [4 per cell]
5 Br 0.028 0.500 0.733 [4 per cell]
6 Br 0.248 0.256 0.308 [8 per cell]

Raw formation energy ... -1127.5 meV/atom